The following is a PBE calculation of a relaxed structure of CsThRu2O8, from the Alexandria database.

Unit cell a=6.067 b=6.067 c=8.629 alpha=90.00 beta=90.00 gamma=120.00
Site moments in Bohr magnetons follow the coordinates.
Element x y z (fractional)
O: 0.823 0.168 0.338  0.12
O: 0.177 0.832 0.662  0.12
O: 0.667 0.333 0.053  0.13
O: 0.333 0.667 0.947  0.13
O: 0.832 0.655 0.338  0.12
O: 0.345 0.177 0.338  0.12
O: 0.168 0.345 0.662  0.12
O: 0.655 0.823 0.662  0.12
Ru: 0.333 0.667 0.745  0.83
Ru: 0.667 0.333 0.255  0.83
Th: 0.000 0.000 0.500  0.05
Cs: 0.000 0.000 0.000  0.00

---

The following is a PBE calculation of a relaxed structure of CsTiRuO6, from the Alexandria database.

Unit cell a=5.291 b=5.291 c=6.546 alpha=90.00 beta=90.00 gamma=60.00
Site moments in Bohr magnetons follow the coordinates.
Element x y z (fractional)
Cs: 0.000 0.000 0.998  0.00
O: 0.004 0.554 0.677  0.07
O: 0.441 0.004 0.677  0.07
O: 0.013 0.423 0.327  0.02
O: 0.554 0.441 0.677  0.07
O: 0.564 0.013 0.327  0.02
O: 0.423 0.564 0.327  0.02
Ti: 0.667 0.667 0.477  0.04
Ru: 0.333 0.333 0.514  0.62

---

The following is a PBE calculation of a relaxed structure of Cs3TlRu2O8, from the Alexandria database.

Unit cell a=6.593 b=6.593 c=8.594 alpha=90.00 beta=90.00 gamma=120.00
Site moments in Bohr magnetons follow the coordinates.
Element x y z (fractional)
Ru: 0.333 0.667 0.214  1.06
Ru: 0.667 0.333 0.786  1.06
Cs: 0.000 0.000 0.000  0.01
Cs: 0.333 0.667 0.668  0.01
Cs: 0.667 0.333 0.332  0.01
O: 0.372 0.186 0.707  0.17
O: 0.814 0.628 0.707  0.17
O: 0.333 0.667 0.008  0.17
O: 0.628 0.814 0.293  0.17
O: 0.667 0.333 0.992  0.17
O: 0.814 0.186 0.707  0.17
O: 0.186 0.372 0.293  0.17
O: 0.186 0.814 0.293  0.17
Tl: 0.000 0.000 0.500  0.01

---

The following is a PBE calculation of a relaxed structure of Cs2TmRuO6, from the Alexandria database.

Unit cell a=5.639 b=6.620 c=6.620 alpha=120.00 beta=90.00 gamma=90.00
Site moments in Bohr magnetons follow the coordinates.
Element x y z (fractional)
O: 0.210 0.867 0.133  0.04
O: 0.790 0.735 0.867  0.04
O: 0.790 0.133 0.867  0.04
O: 0.210 0.265 0.133  0.04
O: 0.790 0.133 0.265  0.04
O: 0.210 0.867 0.735  0.04
Cs: 0.159 0.333 0.667  0.00
Cs: 0.841 0.667 0.333  0.00
Tm: 0.500 0.000 0.000  0.04
Ru: 0.000 0.000 0.000  0.62

---

The following is a PBE calculation of a relaxed structure of Cs2URu3O12, from the Alexandria database.

Unit cell a=7.572 b=7.572 c=7.572 alpha=57.22 beta=57.22 gamma=57.22
Element x y z (fractional)
U: 0.000 0.000 0.000
O: 0.696 0.073 0.696
O: 0.334 0.928 0.928
O: 0.304 0.927 0.304
O: 0.072 0.072 0.666
O: 0.666 0.072 0.072
O: 0.304 0.304 0.927
O: 0.927 0.304 0.304
O: 0.928 0.334 0.928
O: 0.696 0.696 0.073
O: 0.928 0.928 0.334
O: 0.072 0.666 0.072
O: 0.073 0.696 0.696
Cs: 0.382 0.382 0.382
Cs: 0.618 0.618 0.618
Ru: 0.000 0.500 0.000
Ru: 0.000 0.000 0.500
Ru: 0.500 0.000 0.000

---

The following is a PBE calculation of a relaxed structure of Cs2URuO6, from the Alexandria database.

Unit cell a=5.819 b=5.819 c=7.200 alpha=66.16 beta=66.16 gamma=90.00
Site moments in Bohr magnetons follow the coordinates.
Element x y z (fractional)
Cs: 0.750 0.250 0.500  0.00
Cs: 0.250 0.750 0.500  0.00
O: 0.730 0.730 0.000  0.08
O: 0.270 0.270 0.000  0.08
O: 0.161 0.161 0.678  0.01
O: 0.730 0.270 0.000  0.08
O: 0.270 0.730 0.000  0.08
O: 0.839 0.839 0.322  0.01
Ru: 0.500 0.500 0.000  1.30
U: 0.000 0.000 0.000  0.17

---

no.,ΔE_f (raw) (meV/atom),volume (Å³ per atom)
1,-1608,22.92
2,-1622,17.64
3,-1202,23.10
4,-1625,21.40
5,-1574,15.96
6,-2004,20.01